Record 1
Ce4Th3Se8, optimized geometry, DFT PBE; D(E_F) = 1.7272 states/eV/atom; size of the total moment = 3.40 μB per cell; calculated total energy = -6.65 eV/atom
1.0
5.906 -5.916 0.000
5.906 5.916 0.000
-5.896 0.000 5.923
Ce Th Se
4 3 8
direct
0.000 0.000 0.000
0.000 0.000 0.500
0.000 0.500 0.000
0.500 0.000 0.000
0.000 0.500 0.500
0.500 0.000 0.500
0.500 0.500 0.000
0.249 0.751 0.000
0.254 0.254 0.009
0.256 0.744 0.500
0.257 0.257 0.499
0.743 0.743 0.501
0.744 0.256 0.500
0.746 0.746 0.991
0.751 0.249 0.000

---

Record 2
Ce3ThSe4, optimized geometry, DFT PBE; D(E_F) = 2.1058 states/eV/atom; size of the total moment = 1.52 μB per cell; calculated total energy = -6.65 eV/atom
1.0
5.927 0.000 0.000
0.000 5.927 0.000
0.000 0.000 5.927
Ce Th Se
3 1 4
direct
0.000 0.000 0.500
0.000 0.500 0.000
0.500 0.000 0.000
0.500 0.500 0.500
0.000 0.000 0.000
0.000 0.500 0.500
0.500 0.000 0.500
0.500 0.500 0.000

---

Record 3
CeTh6Se12, optimized geometry, DFT PBE; D(E_F) = 0.9056 states/eV/atom; size of the total moment = 1.43 μB per cell; calculated total energy = -6.50 eV/atom
1.0
6.536 3.774 3.880
-6.536 3.774 3.880
0.000 -7.548 3.880
Ce Th Se
1 6 12
direct
0.000 0.000 0.000
0.140 0.630 0.311
0.311 0.140 0.630
0.370 0.689 0.860
0.630 0.311 0.140
0.689 0.860 0.370
0.860 0.370 0.689
0.051 0.668 0.938
0.062 0.949 0.332
0.172 0.421 0.561
0.332 0.062 0.949
0.421 0.561 0.172
0.439 0.828 0.579
0.561 0.172 0.421
0.579 0.439 0.828
0.668 0.938 0.051
0.828 0.579 0.439
0.938 0.051 0.668
0.949 0.332 0.062

---

Record 4
Ce3ThSe6, optimized geometry, DFT PBE; D(E_F) = 2.3514 states/eV/atom; size of the total moment = 3.95 μB per cell; offset from the most stable computed form = 14.7 kJ per mole of atoms; calculated total energy = -6.22 eV/atom
1.0
6.634 -3.950 0.000
6.634 3.950 0.000
-4.188 0.000 6.177
Ce Th Se
3 1 6
direct
0.000 0.000 0.000
0.250 0.250 0.694
0.750 0.750 0.306
0.500 0.500 0.500
0.163 0.662 0.661
0.255 0.255 0.097
0.338 0.837 0.339
0.662 0.163 0.661
0.745 0.745 0.903
0.837 0.338 0.339

---

Record 5
CeThSe2, optimized geometry, DFT PBE; D(E_F) = 1.7058 states/eV/atom; size of the total moment = 2.67 μB per cell; offset from the most stable computed form = 0.0 kJ per mole of atoms; calculated total energy = -6.77 eV/atom
1.0
5.938 0.000 0.000
0.000 5.938 0.000
0.000 0.000 11.888
Ce Th Se
4 4 8
direct
0.000 0.249 0.125
0.000 0.751 0.875
0.500 0.249 0.375
0.500 0.751 0.625
0.000 0.251 0.625
0.000 0.749 0.375
0.500 0.251 0.875
0.500 0.749 0.125
0.000 0.249 0.374
0.000 0.251 0.876
0.000 0.749 0.124
0.000 0.751 0.626
0.500 0.249 0.126
0.500 0.251 0.624
0.500 0.749 0.376
0.500 0.751 0.874

---

Record 6
CeThSe2, optimized geometry, DFT PBE; D(E_F) = 1.8579 states/eV/atom; size of the total moment = 1.00 μB per cell; offset from the most stable computed form = 22.9 kJ per mole of atoms; calculated total energy = -6.53 eV/atom
1.0
5.136 0.000 0.000
0.000 5.136 0.000
0.000 0.000 3.646
Ce Th Se
1 1 2
direct
0.000 0.000 0.000
0.500 0.500 0.000
0.000 0.500 0.500
0.500 0.000 0.500

---

Record 7
Ce5Th3Se8, optimized geometry, DFT PBE; D(E_F) = 2.0191 states/eV/atom; size of the total moment = 0.98 μB per cell; calculated total energy = -6.71 eV/atom
1.0
4.188 2.418 6.888
-4.188 2.418 6.888
0.000 -4.836 6.888
Ce Th Se
5 3 8
direct
0.000 0.000 0.000
0.000 0.500 0.500
0.500 0.000 0.500
0.500 0.500 0.000
0.500 0.500 0.500
0.000 0.000 0.500
0.000 0.500 0.000
0.500 0.000 0.000
0.250 0.250 0.748
0.250 0.748 0.250
0.251 0.251 0.251
0.252 0.750 0.750
0.748 0.250 0.250
0.749 0.749 0.749
0.750 0.252 0.750
0.750 0.750 0.252

---

Record 8
Ce4ThSe5, optimized geometry, DFT PBE; D(E_F) = 2.4077 states/eV/atom; size of the total moment = 3.15 μB per cell; calculated total energy = -6.62 eV/atom
1.0
-4.692 4.692 2.967
4.692 -4.692 2.967
4.692 4.692 -2.967
Ce Th Se
4 1 5
direct
0.100 0.700 0.801
0.300 0.100 0.400
0.700 0.900 0.600
0.900 0.300 0.199
0.500 0.500 0.000
0.000 0.000 0.000
0.199 0.400 0.599
0.400 0.801 0.201
0.600 0.199 0.799
0.801 0.600 0.401

---

Record 9
CeTh2Se5, optimized geometry, DFT PBE; D(E_F) = 1.1303 states/eV/atom; size of the total moment = 3.94 μB per cell; calculated total energy = -6.50 eV/atom
1.0
12.810 0.000 0.000
0.000 8.358 0.000
0.000 0.000 7.876
Ce Th Se
4 8 20
direct
0.005 0.250 0.079
0.495 0.750 0.579
0.505 0.250 0.421
0.995 0.750 0.921
0.180 0.501 0.513
0.180 0.999 0.513
0.320 0.001 0.013
0.320 0.499 0.013
0.680 0.501 0.987
0.680 0.999 0.987
0.820 0.001 0.487
0.820 0.499 0.487
0.001 0.250 0.469
0.107 0.544 0.161
0.107 0.956 0.161
0.183 0.250 0.822
0.215 0.750 0.794
0.285 0.250 0.294
0.317 0.750 0.322
0.393 0.044 0.661
0.393 0.456 0.661
0.499 0.750 0.969
0.501 0.250 0.031
0.607 0.544 0.339
0.607 0.956 0.339
0.683 0.250 0.678
0.715 0.750 0.706
0.785 0.250 0.206
0.817 0.750 0.178
0.893 0.044 0.839
0.893 0.456 0.839
0.999 0.750 0.531

---

Record 10
CeThSe2, optimized geometry, DFT PBE; D(E_F) = 1.8738 states/eV/atom; size of the total moment = 1.33 μB per cell; offset from the most stable computed form = 9.1 kJ per mole of atoms; calculated total energy = -6.68 eV/atom
1.0
2.011 1.161 7.631
-2.011 1.161 7.631
0.000 -2.322 7.631
Ce Th Se
1 1 2
direct
0.000 0.000 0.000
0.827 0.827 0.827
0.413 0.413 0.413
0.581 0.581 0.581

---

Record 11
CeThSe4, optimized geometry, DFT PBE; D(E_F) = 0.1994 states/eV/atom; size of the total moment = 0.13 μB per cell; offset from the most stable computed form = 10.9 kJ per mole of atoms; calculated total energy = -6.10 eV/atom
1.0
4.742 -4.768 0.000
4.742 4.768 0.000
0.000 0.000 4.417
Ce Th Se
1 1 4
direct
0.000 0.000 0.000
0.500 0.500 0.500
0.192 0.192 0.500
0.303 0.697 0.000
0.697 0.303 0.000
0.808 0.808 0.500

---

Record 12
CeTh3Se6, optimized geometry, DFT PBE; D(E_F) = 1.0291 states/eV/atom; size of the total moment = 2.59 μB per cell; calculated total energy = -6.58 eV/atom
1.0
11.585 0.000 0.000
0.000 4.211 0.000
-3.277 0.000 11.631
Ce Th Se
2 6 12
direct
0.043 0.250 0.197
0.957 0.750 0.803
0.150 0.250 0.566
0.309 0.750 0.989
0.406 0.250 0.336
0.594 0.750 0.664
0.691 0.250 0.011
0.850 0.750 0.434
0.086 0.750 0.390
0.118 0.250 0.958
0.201 0.750 0.741
0.246 0.750 0.212
0.410 0.250 0.583
0.477 0.250 0.117
0.523 0.750 0.883
0.590 0.750 0.417
0.754 0.250 0.788
0.799 0.250 0.259
0.882 0.750 0.042
0.914 0.250 0.610

---

Record 13
CeThSe2, optimized geometry, DFT PBE; D(E_F) = 2.2738 states/eV/atom; size of the total moment = 1.35 μB per cell; offset from the most stable computed form = 55.4 kJ per mole of atoms; calculated total energy = -6.20 eV/atom
1.0
2.034 1.174 9.219
-2.034 1.174 9.219
0.000 -2.349 9.219
Ce Th Se
1 1 2
direct
0.000 0.000 0.000
0.500 0.500 0.500
0.397 0.397 0.397
0.603 0.603 0.603

---

Record 14
CeThSe2, optimized geometry, DFT PBE; D(E_F) = 1.7674 states/eV/atom; size of the total moment = 1.70 μB per cell; offset from the most stable computed form = 3.7 kJ per mole of atoms; calculated total energy = -6.73 eV/atom
1.0
4.083 0.000 0.000
-2.042 3.536 0.000
0.000 0.000 14.585
Ce Th Se
2 2 4
direct
0.000 0.000 0.000
0.000 0.000 0.500
0.333 0.667 0.250
0.667 0.333 0.750
0.333 0.667 0.623
0.333 0.667 0.877
0.667 0.333 0.123
0.667 0.333 0.377

---

Record 15
Ce6ThSe8, optimized geometry, DFT PBE; D(E_F) = 2.5883 states/eV/atom; size of the total moment = 5.74 μB per cell; calculated total energy = -6.52 eV/atom
1.0
0.000 5.926 5.926
5.926 0.000 5.926
5.926 5.926 0.000
Ce Th Se
6 1 8
direct
0.000 0.000 0.500
0.000 0.500 0.000
0.000 0.500 0.500
0.500 0.000 0.000
0.500 0.000 0.500
0.500 0.500 0.000
0.000 0.000 0.000
0.250 0.250 0.250
0.254 0.254 0.746
0.254 0.746 0.254
0.254 0.746 0.746
0.746 0.254 0.254
0.746 0.254 0.746
0.746 0.746 0.254
0.750 0.750 0.750

---

Record 16
Ce4ThSe6, optimized geometry, DFT PBE; D(E_F) = 2.6827 states/eV/atom; size of the total moment = 10.51 μB per cell; calculated total energy = -6.34 eV/atom
1.0
5.997 3.462 4.778
-5.997 3.462 4.778
0.000 -6.924 4.778
Ce Th Se
8 2 12
direct
0.136 0.750 0.364
0.250 0.250 0.250
0.250 0.636 0.864
0.364 0.136 0.750
0.636 0.864 0.250
0.750 0.364 0.136
0.750 0.750 0.750
0.864 0.250 0.636
0.000 0.000 0.000
0.500 0.500 0.500
0.061 0.911 0.675
0.089 0.325 0.939
0.175 0.411 0.561
0.325 0.939 0.089
0.411 0.561 0.175
0.439 0.825 0.589
0.561 0.175 0.411
0.589 0.439 0.825
0.675 0.061 0.911
0.825 0.589 0.439
0.911 0.675 0.061
0.939 0.089 0.325

---

Record 17
Ce3ThSe4, optimized geometry, DFT PBE; D(E_F) = 2.2421 states/eV/atom; size of the total moment = 1.75 μB per cell; calculated total energy = -6.65 eV/atom
1.0
-2.966 2.966 5.926
2.966 -2.966 5.926
2.966 2.966 -5.926
Ce Th Se
3 1 4
direct
0.000 0.000 0.000
0.250 0.750 0.500
0.750 0.250 0.500
0.500 0.500 0.000
0.000 0.500 0.500
0.249 0.249 0.000
0.500 0.000 0.500
0.751 0.751 0.000

---

Record 18
CeTh3Se4, optimized geometry, DFT PBE; D(E_F) = 1.1078 states/eV/atom; size of the total moment = 0.66 μB per cell; calculated total energy = -6.89 eV/atom
1.0
-2.970 2.970 5.942
2.970 -2.970 5.942
2.970 2.970 -5.942
Ce Th Se
1 3 4
direct
0.000 0.000 0.000
0.250 0.750 0.500
0.500 0.500 0.000
0.750 0.250 0.500
0.000 0.500 0.500
0.249 0.249 0.000
0.500 0.000 0.500
0.751 0.751 0.000

---

Record 19
CeThSe2, optimized geometry, DFT PBE; D(E_F) = 1.7747 states/eV/atom; size of the total moment = 0.75 μB per cell; offset from the most stable computed form = 22.8 kJ per mole of atoms; calculated total energy = -6.54 eV/atom
1.0
0.000 3.631 3.631
3.631 0.000 3.631
3.631 3.631 0.000
Ce Th Se
1 1 2
direct
0.000 0.000 0.000
0.500 0.500 0.500
0.250 0.250 0.250
0.750 0.750 0.750

---

Record 20
CeTh6Se8, optimized geometry, DFT PBE; D(E_F) = 0.9469 states/eV/atom; size of the total moment = 1.42 μB per cell; calculated total energy = -6.85 eV/atom
1.0
0.000 5.914 5.914
5.914 0.000 5.914
5.914 5.914 0.000
Ce Th Se
1 6 8
direct
0.000 0.000 0.000
0.000 0.000 0.500
0.000 0.500 0.000
0.000 0.500 0.500
0.500 0.000 0.000
0.500 0.000 0.500
0.500 0.500 0.000
0.250 0.250 0.250
0.259 0.259 0.741
0.259 0.741 0.259
0.259 0.741 0.741
0.741 0.259 0.259
0.741 0.259 0.741
0.741 0.741 0.259
0.750 0.750 0.750